1.
Er12TmPb7, relaxed, DFT PBE; theoretical density = 10.0 g/cm3; SG = R-3m, No. 166; spin magnetization = 0.00 μB/f.u.
1.0
-8.384 -2.962 2.790
6.624 -3.175 5.736
0.196 9.312 -0.324
Er Tm Pb
12 1 7
Cartesian
-6.396 2.870 4.153
-4.202 -3.019 3.613
-2.997 2.660 2.222
-3.572 0.588 4.998
-2.194 5.892 0.546
-0.709 4.680 3.960
-0.855 -1.505 4.242
0.630 -2.717 7.656
2.008 2.587 3.204
1.432 0.515 5.980
2.638 6.194 4.589
4.831 0.305 4.049
0.000 0.000 0.000
-3.371 3.725 5.385
-2.753 -0.483 1.921
-0.144 3.245 0.976
-0.782 1.587 4.101
-1.421 -0.070 7.226
1.189 3.658 6.281
1.807 -0.550 2.817

***

2.
LiHf2Sc2, relaxed, DFT PBE; theoretical density = 6.2 g/cm3; SG = P4/mbm, No. 127; spin magnetization = 0.00 μB/f.u.
1.0
8.615 0.000 0.000
0.000 8.615 0.000
0.000 0.000 3.286
Sc Hf Li
4 4 2
Cartesian
1.507 5.814 1.643
5.814 7.108 1.643
7.108 2.801 1.643
2.801 1.507 1.643
3.288 7.596 0.000
7.596 5.327 0.000
5.327 1.019 0.000
1.019 3.288 0.000
0.000 0.000 0.000
4.307 4.307 0.000

***

3.
RbZrGe2, relaxed, DFT PBE; theoretical density = 5.5 g/cm3; SG = Fm-3m, No. 225; spin magnetization = 0.00 μB/f.u.
1.0
0.000 3.641 3.641
3.641 0.000 3.641
3.641 3.641 0.000
Ge Rb Zr
2 1 1
Cartesian
1.821 1.821 1.821
5.462 5.462 5.462
0.000 0.000 0.000
3.641 3.641 3.641

***

E_tot? In order: -4.48; -6.54; -4.27 eV per atom.